Material: ScCuBiPd
Method: DFT, PBE-GGA
State: optimized geometry

extended XYZ file:
```
4
Lattice="4.256 -2.088 -0.285 1.539 -2.749 3.554 0.303 -4.702 -0.595" Properties=species:S:1:pos:R:3 pbc="T T T"
Bi 0.000 0.000 0.000
Cu 4.574 -7.154 2.006
Pd 1.525 -2.385 0.669
Sc 3.049 -4.769 1.337
```

Material: ScCuBiPd
Method: DFT, PBE-GGA
State: optimized geometry

extended XYZ file:
```
4
Lattice="-0.843 2.356 4.039 -2.140 4.240 -0.126 -4.451 0.463 1.595" Properties=species:S:1:pos:R:3 pbc="T T T"
Bi 0.000 0.000 0.000
Cu -5.575 5.294 4.131
Pd -3.717 3.529 2.754
Sc -1.858 1.765 1.377
```

Number 1: offset from the most stable computed form 0.000 eV/atom. Number 2: offset from the most stable computed form 0.086 eV/atom.